[1]
A relaxed structure of RbPaCuSe4. Source: Alexandria via LeMat-Bulk, functional PBE.

## Properties
raw formation energy	-1.05	eV/atom

Cell: 7.0577 5.8403 9.7276 Å, 90.00 106.87 90.00°
Closest atoms and distances in Å follow each position.
Positions (direct):
Rb 0.2425 0.2500 0.0495  8 Se 3.38-3.76
Rb 0.7575 0.7500 0.9505  8 Se 3.38-3.76
Pa 0.2693 0.2500 0.5557  6 Se 2.73-3.01
Pa 0.7307 0.7500 0.4443  6 Se 2.73-3.01
Cu 0.2631 0.7500 0.3355  4 Se 2.37-2.43
Cu 0.7369 0.2500 0.6646  4 Se 2.37-2.43
Se 0.0144 0.5100 0.6939  1 Cu 2.43
Se 0.0144 0.9900 0.6939  1 Cu 2.43
Se 0.4292 0.7500 0.5865  1 Cu 2.38
Se 0.4640 0.7500 0.1775  1 Cu 2.37
Se 0.5360 0.2500 0.8225  1 Cu 2.37
Se 0.5708 0.2500 0.4135  1 Cu 2.38
Se 0.9856 0.0100 0.3061  1 Cu 2.43
Se 0.9856 0.4900 0.3061  1 Cu 2.43



[2]
A relaxed structure of PrSmTe2I. Source: Alexandria via LeMat-Bulk, functional PBE.

## Properties
raw formation energy	-1.22	eV/atom

Cell: 4.6581 4.6581 15.2681 Å, 90.00 90.00 90.00°
Closest atoms and distances in Å follow each position.
Positions (direct):
Pr 0.2500 0.2500 0.1536  4 I 3.31, 5 Te 3.39-3.47
Pr 0.7500 0.7500 0.8464  4 I 3.31, 5 Te 3.39-3.47
Sm 0.2500 0.2500 0.5872  6 Te 3.14-3.33
Sm 0.7500 0.7500 0.4128  6 Te 3.14-3.33
Te 0.2500 0.2500 0.3807  5 Sm 3.15-3.33, 1 Pr 3.47
Te 0.2500 0.2500 0.7930  1 Sm 3.14, 4 Pr 3.39
Te 0.7500 0.7500 0.2070  1 Sm 3.14, 4 Pr 3.39
Te 0.7500 0.7500 0.6193  5 Sm 3.15-3.33, 1 Pr 3.47
I 0.2500 0.7500 0.0000  4 I 3.29, 4 Pr 3.31
I 0.7500 0.2500 0.0000  4 I 3.29, 4 Pr 3.31



[3]
A relaxed structure of Pr3TmTl4S8. Source: Alexandria via LeMat-Bulk, functional PBE.

## Properties
raw formation energy	-1.45	eV/atom

Cell: 8.9069 8.9069 8.9069 Å, 55.66 55.66 55.66°
Closest atoms and distances in Å follow each position.
Positions (direct):
Pr 0.0000 0.5000 0.5000  6 S 2.86-2.88
Pr 0.5000 0.0000 0.5000  6 S 2.86-2.88
Pr 0.5000 0.5000 0.0000  6 S 2.86-2.88
Tm 0.0000 0.0000 0.0000  6 S 2.76
Tl 0.0000 0.0000 0.5000  6 S 3.25
Tl 0.0000 0.5000 0.0000  6 S 3.25
Tl 0.5000 0.0000 0.0000  6 S 3.25
Tl 0.5000 0.5000 0.5000  6 S 3.35
S 0.2275 0.2275 0.7463  1 Tm 2.76, 2 Pr 2.88
S 0.2275 0.7463 0.2275  1 Tm 2.76, 2 Pr 2.88
S 0.2537 0.7725 0.7725  1 Tm 2.76, 2 Pr 2.88
S 0.2642 0.2642 0.2642  3 Pr 2.86
S 0.7358 0.7358 0.7358  3 Pr 2.86
S 0.7463 0.2275 0.2275  1 Tm 2.76, 2 Pr 2.88
S 0.7725 0.2537 0.7725  1 Tm 2.76, 2 Pr 2.88
S 0.7725 0.7725 0.2537  1 Tm 2.76, 2 Pr 2.88



Which of these has the lowest raw formation energy?
Pr3TmTl4S8



raw formation energy of number 1 (RbPaCuSe4)?
-1.05 eV/atom